{
  "formula": "MgZr2Os",
  "functional": "PBE",
  "state": "relaxed",
  "cell": [[4.731, 0.000, 0.000], [2.365, 4.097, 0.000], [2.365, 1.366, 3.863]],
  "species": ["Zr", "Zr", "Os", "Mg"],
  "frac_coords": [[0.000, 0.000, 0.000], [0.250, 0.250, 0.250], [0.750, 0.750, 0.750], [0.500, 0.500, 0.500]],
  "total_energy_ev_per_atom": -7.47,
  "delta_e_f_ev_per_atom": 0.012,
  "volume_a3_per_atom": 18.72,
  "dos_at_fermi_per_ev_fu": 2.41,
  "sg": "F-43m (216)"
}